3
Lattice="0.000 2.823 2.823 2.823 0.000 2.823 2.823 2.823 0.000" Properties=species:S:1:pos:R:3 comment="BeAlAu | OQMD | PBE | optimized geometry" e_tot_ev_per_fu=-11.1 sg="F-43m (216)" polymorph_energy_ev_per_atom=0.008 pbc="T T T"
Al 1.412 1.412 1.412
Au 4.235 4.235 4.235
Be 0.000 0.000 0.000

***

4
Lattice="0.000 3.146 3.146 3.146 0.000 3.146 3.146 3.146 0.000" Properties=species:S:1:pos:R:3 comment="BeAlAu2 | OQMD | PBE | optimized geometry" e_tot_ev_per_fu=-13.7 sg="F-43m (216)" pbc="T T T"
Al 3.146 3.146 3.146
Au 0.000 0.000 0.000
Au 4.718 4.718 4.718
Be 1.573 1.573 1.573

***

Repeat the second record exactly.
4
Lattice="0.000 3.146 3.146 3.146 0.000 3.146 3.146 3.146 0.000" Properties=species:S:1:pos:R:3 comment="BeAlAu2 | OQMD | PBE | optimized geometry" e_tot_ev_per_fu=-13.7 sg="F-43m (216)" pbc="T T T"
Al 3.146 3.146 3.146
Au 0.000 0.000 0.000
Au 4.718 4.718 4.718
Be 1.573 1.573 1.573